Below is AgPRu after structural relaxation, with properties calculated at the PBE level.

Cell: 5.5607 5.5607 5.5607 Å, 148.73 148.73 44.81°
Fractional coordinates of all 3 atoms:
Ag1 0.0000 0.0000 0.0000
P1 0.3068 0.3068 0.0000
Ru1 0.7065 0.7065 0.0000

Results
Calculated total energy (eV per atom): -5.926
Volume (Å³/f.u.): 46.2
Energy relative to the elements (eV per atom): -0.0805